La2TcNiC: optimized geometry, GGA-PBE.

Structure (CIF):
```
data_La2TcNiC
_cell_length_a 5.234
_cell_length_b 5.234
_cell_length_c 3.941
_cell_angle_alpha 90.00
_cell_angle_beta 90.00
_cell_angle_gamma 90.00
_symmetry_space_group_name_H-M 'P 4/m m m'
_symmetry_Int_Tables_number 123
_symmetry_space_group_name_Hall '-P 4 2'
loop_
_atom_site_label
_atom_site_fract_x
_atom_site_fract_y
_atom_site_fract_z
La1 0.000 0.500 0.000
Tc1 0.000 0.000 0.500
Ni1 0.500 0.500 0.500
C1 0.000 0.000 0.000
```

Calculated volume, A^3/atom: 21.59
ΔE_f, meV per atom: 7.2
Total energy, eV for the cell shown: -35.19
Total magnetic moment, Bohr magnetons per cell: 0.00